This record from Alexandria describes an optimized crystal structure of AlSi2Pt. The functional is PBE.

Lattice parameters (Å, degrees): 3.9414 4.0801 7.3897 90.00 90.00 90.00
With the nearest neighbours (Å) after each atom.
Space group Cmm2 (No. 35)
Asymmetric unit:
Al (0.0000, 0.0000, 0.0000)  4 Pt 2.67-2.72, 4 Si 2.74-2.79, 4 Al 2.84
Si (0.0000, 0.0000, 0.5157)  4 Pt 2.65-2.71, 8 Si 2.74-2.84
Si (0.0000, 0.5000, 0.2584)  8 Si 2.74-2.84, 4 Al 2.74-2.79
Pt (0.0000, 0.5000, 0.7564)  4 Si 2.65-2.71, 4 Al 2.67-2.72, 4 Pt 2.84

Output
The value obtained for the raw formation energy is -0.133 eV/atom. The value obtained for the magnetization is 0.00 μB per atom.